(1)
DFT (PBE-GGA) results for a geometry-optimized K3P structure.

a b c (Å): 7.621 7.621 5.044
angles (deg): 90.00 90.00 130.28
Positions (direct):
K: 0.000 0.000 0.000
K: 0.363 0.637 0.500
K: 0.637 0.363 0.500
P: 0.500 0.500 0.000

Results
The calculation puts the volume at 55.87 Å³/atom. The density of states at the Fermi level is 3.0 states/eV/cell. Its formation energy is -94 meV/atom.


(2)
DFT (PBE-GGA) results for a geometry-optimized K2P structure.

a b c (Å): 15.764 15.764 15.764
angles (deg): 165.49 165.49 20.58
Positions (direct):
K: 0.320 0.570 0.750
K: 0.430 0.680 0.750
K: 0.570 0.320 0.250
K: 0.680 0.430 0.250
P: 0.125 0.875 0.250
P: 0.875 0.125 0.750

Results
The calculation puts the volume at 41.00 Å³/atom. The density of states at the Fermi level is 2.3 states/eV/cell. As for the relative energy among the computed polymorphs: 0.264 eV per atom. Its formation energy is 16 meV/atom.


Please write out number 1 again, unchanged.
DFT (PBE-GGA) results for a geometry-optimized K3P structure.

a b c (Å): 7.621 7.621 5.044
angles (deg): 90.00 90.00 130.28
Positions (direct):
K: 0.000 0.000 0.000
K: 0.363 0.637 0.500
K: 0.637 0.363 0.500
P: 0.500 0.500 0.000

Results
The calculation puts the volume at 55.87 Å³/atom. The density of states at the Fermi level is 3.0 states/eV/cell. Its formation energy is -94 meV/atom.